1.
This record from Alexandria via LeMat-Bulk describes an optimized crystal structure of La3CeHo12. The functional is PBE.

a = 5.692 Å, b = 5.692 Å, c = 16.049 Å
α = 90.00°, β = 90.00°, γ = 90.00°
Fractional coordinates of all 16 atoms:
La 0.000 0.000 0.000
La 0.000 0.000 0.261
La 0.000 0.000 0.739
Ce 0.000 0.000 0.500
Ho 0.000 0.500 0.130
Ho 0.000 0.500 0.384
Ho 0.000 0.500 0.616
Ho 0.000 0.500 0.870
Ho 0.500 0.000 0.130
Ho 0.500 0.000 0.384
Ho 0.500 0.000 0.616
Ho 0.500 0.000 0.870
Ho 0.500 0.500 0.000
Ho 0.500 0.500 0.257
Ho 0.500 0.500 0.500
Ho 0.500 0.500 0.743

Properties
- DOS at the Fermi energy: 33.40 states/eV per cell

***

2.
This record from Alexandria via LeMat-Bulk describes an optimized crystal structure of Cs3Ag2HgBr6. The functional is PBE.

a = 8.573 Å, b = 8.573 Å, c = 9.209 Å
α = 90.00°, β = 90.00°, γ = 120.00°
Fractional coordinates of all 12 atoms:
Cs 0.000 0.000 0.000
Cs 0.333 0.667 0.630
Cs 0.667 0.333 0.370
Ag 0.333 0.667 0.228
Ag 0.667 0.333 0.772
Hg 0.000 0.000 0.500
Br 0.163 0.326 0.293
Br 0.163 0.837 0.293
Br 0.326 0.163 0.707
Br 0.674 0.837 0.293
Br 0.837 0.163 0.707
Br 0.837 0.674 0.707

Properties
- DOS at the Fermi energy: 2.99 states/eV per cell

***

3.
This record from Alexandria via LeMat-Bulk describes an optimized crystal structure of BHF3. The functional is PBE.

a = 3.336 Å, b = 3.336 Å, c = 3.336 Å
α = 90.00°, β = 90.00°, γ = 90.00°
Fractional coordinates of all 5 atoms:
B 0.000 0.000 0.000
H 0.500 0.500 0.500
F 0.000 0.500 0.500
F 0.500 0.000 0.500
F 0.500 0.500 0.000

Properties
- Energy above the lowest structure with this stoichiometry: 9.70 eV/f.u.
- DOS at the Fermi energy: 1.63 states/eV per cell

***

4.
This record from Alexandria via LeMat-Bulk describes an optimized crystal structure of Fe3Pd7Pt2. The functional is PBE.

a = 15.678 Å, b = 15.678 Å, c = 2.675 Å
α = 90.00°, β = 90.00°, γ = 164.13°
Fractional coordinates of all 12 atoms:
Fe 0.000 0.000 0.000
Fe 0.321 0.679 0.500
Fe 0.679 0.321 0.500
Pd 0.067 0.933 0.500
Pd 0.230 0.770 0.000
Pd 0.402 0.598 0.000
Pd 0.500 0.500 0.500
Pd 0.598 0.402 0.000
Pd 0.770 0.230 0.000
Pd 0.933 0.067 0.500
Pt 0.148 0.852 0.000
Pt 0.852 0.148 0.000

Properties
- DOS at the Fermi energy: 25.69 states/eV per cell

***

5.
This record from Alexandria via LeMat-Bulk describes an optimized crystal structure of GeRh. The functional is PBE.

a = 5.898 Å, b = 6.177 Å, c = 7.069 Å
α = 90.00°, β = 90.00°, γ = 90.00°
Fractional coordinates of all 16 atoms:
Ge 0.130 0.002 0.163
Ge 0.130 0.421 0.985
Ge 0.370 0.579 0.485
Ge 0.370 0.998 0.663
Ge 0.630 0.079 0.015
Ge 0.630 0.498 0.837
Ge 0.870 0.502 0.337
Ge 0.870 0.921 0.515
Rh 0.007 0.589 0.669
Rh 0.157 0.226 0.439
Rh 0.343 0.774 0.939
Rh 0.493 0.411 0.169
Rh 0.507 0.911 0.331
Rh 0.657 0.274 0.561
Rh 0.843 0.726 0.061
Rh 0.993 0.089 0.831

Properties
- DOS at the Fermi energy: 10.86 states/eV per cell

***

6.
This record from Alexandria via LeMat-Bulk describes an optimized crystal structure of Pm6P2RhCl3. The functional is PBE.

a = 9.368 Å, b = 9.368 Å, c = 8.625 Å
α = 103.47°, β = 103.47°, γ = 24.78°
Fractional coordinates of all 12 atoms:
Pm 0.007 0.007 0.227
Pm 0.325 0.325 0.436
Pm 0.340 0.340 0.895
Pm 0.660 0.660 0.105
Pm 0.675 0.675 0.564
Pm 0.993 0.993 0.773
P 0.167 0.167 0.336
P 0.833 0.833 0.664
Rh 0.500 0.500 0.000
Cl 0.170 0.170 0.830
Cl 0.500 0.500 0.500
Cl 0.830 0.830 0.170

Properties
- DOS at the Fermi energy: 6.63 states/eV per cell

***

7.
This record from Alexandria via LeMat-Bulk describes an optimized crystal structure of Ba2TlGe2. The functional is PBE.

a = 6.885 Å, b = 6.885 Å, c = 12.062 Å
α = 113.57°, β = 113.57°, γ = 41.52°
Fractional coordinates of all 10 atoms:
Ba 0.098 0.098 0.404
Ba 0.291 0.291 0.843
Ba 0.709 0.709 0.157
Ba 0.902 0.902 0.596
Tl 0.403 0.403 0.159
Tl 0.597 0.597 0.841
Ge 0.006 0.006 0.105
Ge 0.400 0.400 0.400
Ge 0.600 0.600 0.600
Ge 0.994 0.994 0.895

Properties
- DOS at the Fermi energy: 6.33 states/eV per cell

***

8.
This record from Alexandria via LeMat-Bulk describes an optimized crystal structure of CsK2LiAu. The functional is PBE.

a = 6.497 Å, b = 6.497 Å, c = 6.992 Å
α = 90.00°, β = 90.00°, γ = 90.00°
Fractional coordinates of all 5 atoms:
Cs 0.000 0.000 0.000
K 0.000 0.500 0.500
K 0.500 0.000 0.500
Li 0.500 0.500 0.000
Au 0.000 0.000 0.500

Properties
- Energy above the lowest structure with this stoichiometry: 0.29 eV/f.u.
- DOS at the Fermi energy: 4.48 states/eV per cell

***

9.
This record from Alexandria via LeMat-Bulk describes an optimized crystal structure of BeNi2Os. The functional is PBE.

a = 2.546 Å, b = 2.546 Å, c = 7.731 Å
α = 90.00°, β = 90.00°, γ = 112.96°
Fractional coordinates of all 4 atoms:
Be 0.000 0.000 0.000
Ni 0.000 0.000 0.526
Ni 0.500 0.500 0.784
Os 0.500 0.500 0.248

Properties
- DOS at the Fermi energy: 5.67 states/eV per cell

***

10.
This record from Alexandria via LeMat-Bulk describes an optimized crystal structure of KTaTe2. The functional is PBE.

a = 6.607 Å, b = 6.607 Å, c = 6.607 Å
α = 147.05°, β = 114.64°, γ = 75.16°
Fractional coordinates of all 4 atoms:
K 0.000 0.000 0.000
Ta 0.500 0.500 0.000
Te 0.309 0.809 0.500
Te 0.691 0.191 0.500

Properties
- DOS at the Fermi energy: 2.90 states/eV per cell

***

11.
This record from Alexandria via LeMat-Bulk describes an optimized crystal structure of CeNiRh2. The functional is PBE.

a = 4.060 Å, b = 4.060 Å, c = 3.928 Å
α = 90.00°, β = 90.00°, γ = 90.00°
Fractional coordinates of all 4 atoms:
Ce 0.000 0.000 0.000
Ni 0.500 0.500 0.000
Rh 0.000 0.500 0.500
Rh 0.500 0.000 0.500

Properties
- DOS at the Fermi energy: 5.95 states/eV per cell

***

12.
This record from Alexandria via LeMat-Bulk describes an optimized crystal structure of NaCa4In. The functional is PBE.

a = 7.186 Å, b = 7.186 Å, c = 8.264 Å
α = 107.10°, β = 107.10°, γ = 31.95°
Fractional coordinates of all 6 atoms:
Na 0.000 0.000 0.000
Ca 0.346 0.346 0.195
Ca 0.357 0.357 0.657
Ca 0.643 0.643 0.343
Ca 0.654 0.654 0.805
In 0.000 0.000 0.500

Properties
- DOS at the Fermi energy: 4.68 states/eV per cell

***

13.
This record from Alexandria via LeMat-Bulk describes an optimized crystal structure of Ta2TlSb. The functional is PBE.

a = 4.776 Å, b = 4.776 Å, c = 3.581 Å
α = 90.00°, β = 90.00°, γ = 97.29°
Fractional coordinates of all 4 atoms:
Ta 0.000 0.500 0.000
Ta 0.500 0.000 0.000
Tl 0.000 0.000 0.500
Sb 0.500 0.500 0.500

Properties
- Energy above the lowest structure with this stoichiometry: 1.25 eV/f.u.
- DOS at the Fermi energy: 2.65 states/eV per cell

***

14.
This record from Alexandria via LeMat-Bulk describes an optimized crystal structure of Na2LiPaS4. The functional is PBE.

a = 6.590 Å, b = 4.056 Å, c = 6.930 Å
α = 90.00°, β = 107.72°, γ = 90.00°
Fractional coordinates of all 8 atoms:
Na 0.000 0.000 0.000
Na 0.500 0.500 0.000
Li 0.000 0.500 0.500
Pa 0.500 0.000 0.500
S 0.256 0.000 0.724
S 0.263 0.500 0.281
S 0.737 0.500 0.719
S 0.744 0.000 0.276

Properties
- DOS at the Fermi energy: 0.00 states/eV per cell

***

15.
This record from Alexandria via LeMat-Bulk describes an optimized crystal structure of Mg2Cd9Sn. The functional is PBE.

a = 4.494 Å, b = 4.494 Å, c = 13.534 Å
α = 90.00°, β = 90.00°, γ = 90.00°
Fractional coordinates of all 12 atoms:
Mg 0.000 0.000 0.163
Mg 0.000 0.000 0.837
Cd 0.000 0.500 0.000
Cd 0.000 0.500 0.324
Cd 0.000 0.500 0.676
Cd 0.500 0.000 0.000
Cd 0.500 0.000 0.324
Cd 0.500 0.000 0.676
Cd 0.500 0.500 0.163
Cd 0.500 0.500 0.500
Cd 0.500 0.500 0.837
Sn 0.000 0.000 0.500

Properties
- Energy above the lowest structure with this stoichiometry: 0.00 eV/f.u.
- DOS at the Fermi energy: 3.86 states/eV per cell

***

16.
This record from Alexandria via LeMat-Bulk describes an optimized crystal structure of BaLiMg2Hg. The functional is PBE.

a = 5.238 Å, b = 5.238 Å, c = 5.243 Å
α = 90.00°, β = 90.00°, γ = 90.00°
Fractional coordinates of all 5 atoms:
Ba 0.000 0.000 0.000
Li 0.500 0.500 0.500
Mg 0.000 0.500 0.500
Mg 0.500 0.000 0.500
Hg 0.500 0.500 0.000

Properties
- Energy above the lowest structure with this stoichiometry: 0.12 eV/f.u.
- DOS at the Fermi energy: 4.21 states/eV per cell

***

17.
This record from Alexandria via LeMat-Bulk describes an optimized crystal structure of Ga3PIr. The functional is PBE.

a = 4.789 Å, b = 4.789 Å, c = 4.789 Å
α = 90.00°, β = 90.00°, γ = 90.00°
Fractional coordinates of all 5 atoms:
Ga 0.000 0.000 0.500
Ga 0.000 0.500 0.000
Ga 0.500 0.000 0.000
P 0.500 0.500 0.500
Ir 0.000 0.000 0.000

Properties
- Energy above the lowest structure with this stoichiometry: 0.00 eV/f.u.
- DOS at the Fermi energy: 5.00 states/eV per cell

***

18.
This record from Alexandria via LeMat-Bulk describes an optimized crystal structure of Pr4RuRh. The functional is PBE.

a = 8.256 Å, b = 8.256 Å, c = 6.514 Å
α = 108.51°, β = 108.51°, γ = 112.37°
Fractional coordinates of all 12 atoms:
Pr 0.041 0.689 0.895
Pr 0.236 0.368 0.733
Pr 0.311 0.959 0.605
Pr 0.368 0.236 0.233
Pr 0.632 0.764 0.767
Pr 0.689 0.041 0.395
Pr 0.764 0.632 0.267
Pr 0.959 0.311 0.105
Ru 0.004 0.996 0.250
Ru 0.996 0.004 0.750
Rh 0.362 0.638 0.250
Rh 0.638 0.362 0.750

Properties
- Energy above the lowest structure with this stoichiometry: 0.00 eV/f.u.
- DOS at the Fermi energy: 10.28 states/eV per cell

***

19.
This record from Alexandria via LeMat-Bulk describes an optimized crystal structure of TaCuAs2O. The functional is PBE.

a = 4.927 Å, b = 4.927 Å, c = 4.994 Å
α = 90.00°, β = 90.00°, γ = 90.00°
Fractional coordinates of all 5 atoms:
Ta 0.000 0.000 0.000
Cu 0.000 0.000 0.500
As 0.000 0.500 0.000
As 0.500 0.000 0.000
O 0.500 0.500 0.500

Properties
- Energy above the lowest structure with this stoichiometry: 4.47 eV/f.u.
- DOS at the Fermi energy: 5.09 states/eV per cell

***

20.
This record from Alexandria via LeMat-Bulk describes an optimized crystal structure of Rb4Ac3ScS8. The functional is PBE.

a = 9.200 Å, b = 9.200 Å, c = 9.200 Å
α = 56.01°, β = 56.01°, γ = 56.01°
Fractional coordinates of all 16 atoms:
Rb 0.000 0.000 0.000
Rb 0.000 0.500 0.500
Rb 0.500 0.000 0.500
Rb 0.500 0.500 0.000
Ac 0.000 0.000 0.500
Ac 0.000 0.500 0.000
Ac 0.500 0.000 0.000
Sc 0.500 0.500 0.500
S 0.236 0.236 0.236
S 0.259 0.717 0.717
S 0.283 0.283 0.741
S 0.283 0.741 0.283
S 0.717 0.259 0.717
S 0.717 0.717 0.259
S 0.741 0.283 0.283
S 0.764 0.764 0.764

Properties
- DOS at the Fermi energy: 0.00 states/eV per cell

***

21.
This record from Alexandria via LeMat-Bulk describes an optimized crystal structure of Pr3DyYHo. The functional is PBE.

a = 8.126 Å, b = 8.126 Å, c = 10.279 Å
α = 90.00°, β = 90.00°, γ = 143.18°
Fractional coordinates of all 12 atoms:
Pr 0.164 0.836 0.000
Pr 0.164 0.836 0.500
Pr 0.335 0.665 0.750
Pr 0.665 0.335 0.250
Pr 0.836 0.164 0.000
Pr 0.836 0.164 0.500
Dy 0.500 0.500 0.000
Dy 0.500 0.500 0.500
Y 0.335 0.665 0.250
Y 0.665 0.335 0.750
Ho 0.001 0.999 0.750
Ho 0.999 0.001 0.250

Properties
- DOS at the Fermi energy: 18.05 states/eV per cell

***

22.
This record from Alexandria via LeMat-Bulk describes an optimized crystal structure of B7C3. The functional is PBE.

a = 10.225 Å, b = 10.225 Å, c = 10.225 Å
α = 164.71°, β = 164.71°, γ = 21.69°
Fractional coordinates of all 10 atoms:
B 0.000 0.000 0.000
B 0.210 0.210 0.000
B 0.417 0.417 0.000
B 0.583 0.583 0.000
B 0.646 0.146 0.500
B 0.790 0.790 0.000
B 0.854 0.354 0.500
C 0.047 0.547 0.500
C 0.250 0.750 0.500
C 0.453 0.953 0.500

Properties
- Energy above the lowest structure with this stoichiometry: 2.21 eV/f.u.
- DOS at the Fermi energy: 2.50 states/eV per cell

***

Volume for every record listed, in sequence, given in Å³ per atom: 32.497, 48.841, 7.423, 14.985, 16.096, 25.675, 34.258, 59.026, 11.532, 34.990, 16.187, 35.836, 20.257, 22.054, 22.778, 28.775, 21.964, 28.096, 24.247, 31.236, 33.905, 7.434.
DFT total energy for every record listed, in sequence, given in eV per formula unit: -73.49, -30.12, -14.73, -69.29, -12.72, -69.29, -17.62, -8.27, -25.94, -19.47, -28.58, -12.90, -28.02, -42.11, -15.79, -7.72, -22.25, -37.75, -24.91, -84.25, -29.86, -69.29.